# 1
Compound: BaNa2Sn
Source: Alexandria via LeMat-Bulk
Functional: PBE
Structure: relaxed

Cell and atoms, written as CIF:
```
data_BaNa2Sn
_cell_length_a 3.7587
_cell_length_b 3.7587
_cell_length_c 38.3480
_cell_angle_alpha 90.00
_cell_angle_beta 90.00
_cell_angle_gamma 120.00
_space_group_name_H-M_alt 'R -3 m'
_space_group_IT_number 166
_space_group_name_Hall '-R 3 2"'
loop_
_atom_site_label
_atom_site_type_symbol
_atom_site_fract_x
_atom_site_fract_y
_atom_site_fract_z
_atom_site_occupancy
Ba1 Ba 0.0000 0.0000 0.0000 1
Na1 Na 0.0000 0.0000 0.1007 1
Sn1 Sn 0.0000 0.0000 0.5000 1
```

Summary:
* energy of formation: 150 meV per atom
* final energy: -23.9 eV per cell
* crystal system: trigonal



# 2
Compound: Y3ErBi3
Source: Alexandria via LeMat-Bulk
Functional: PBE
Structure: relaxed

Cell and atoms, written as CIF:
```
data_Y3ErBi3
_cell_length_a 9.3869
_cell_length_b 9.3869
_cell_length_c 9.3869
_cell_angle_alpha 90.00
_cell_angle_beta 90.00
_cell_angle_gamma 90.00
_space_group_name_H-M_alt 'P 21 3'
_space_group_IT_number 198
_space_group_name_Hall 'P 2ac 2ab 3'
loop_
_atom_site_label
_atom_site_type_symbol
_atom_site_fract_x
_atom_site_fract_y
_atom_site_fract_z
_atom_site_occupancy
Y1 Y 0.0719 0.4281 0.5719 1
Y2 Y 0.1762 0.8238 0.3238 1
Y3 Y 0.1768 0.1768 0.1768 1
Er1 Er 0.0737 0.5737 0.9263 1
Bi1 Bi 0.0007 0.2519 0.8741 1
```

Summary:
* energy of formation: -745 meV per atom
* final energy: -163.2 eV per cell
* distance to the lowest polymorph of the same formula: 0.000 eV/atom
* crystal system: cubic



# 3
Compound: Er3Np2Se8
Source: Alexandria via LeMat-Bulk
Functional: PBE
Structure: relaxed

Cell and atoms, written as CIF:
```
data_Er3Np2Se8
_cell_length_a 14.6117
_cell_length_b 8.0742
_cell_length_c 6.8741
_cell_angle_alpha 90.00
_cell_angle_beta 108.91
_cell_angle_gamma 90.00
_space_group_name_H-M_alt 'C 1 2/m 1'
_space_group_IT_number 12
loop_
_space_group_symop_operation_xyz
'x,y,z'
'-x,-y,-z'
'-x,y,-z'
'x,-y,z'
'x+1/2,y+1/2,z'
'-x+1/2,-y+1/2,-z'
'-x+1/2,y+1/2,-z'
'x+1/2,-y+1/2,z'
loop_
_atom_site_label
_atom_site_type_symbol
_atom_site_fract_x
_atom_site_fract_y
_atom_site_fract_z
_atom_site_occupancy
Er1 Er 0.0000 0.0000 0.0000 1
Er2 Er 0.0000 0.2593 0.5000 1
Np1 Np 0.2424 0.5000 0.1667 1
Se1 Se 0.1117 0.5000 0.3904 1
Se2 Se 0.1165 0.0000 0.4192 1
Se3 Se 0.1234 0.2378 0.9136 1
```

Summary:
* formation energy without anion corrections: -1.461 eV per atom
* final energy: -172.9 eV per cell
* crystal system: monoclinic



# 4
Compound: ZnSb2Rh
Source: Alexandria via LeMat-Bulk
Functional: PBE
Structure: relaxed

Cell and atoms, written as CIF:
```
data_ZnSb2Rh
_cell_length_a 3.3955
_cell_length_b 3.3955
_cell_length_c 25.5114
_cell_angle_alpha 90.00
_cell_angle_beta 90.00
_cell_angle_gamma 120.00
_space_group_name_H-M_alt 'R 3 m'
_space_group_IT_number 160
_space_group_name_Hall 'R 3 -2"'
loop_
_atom_site_label
_atom_site_type_symbol
_atom_site_fract_x
_atom_site_fract_y
_atom_site_fract_z
_atom_site_occupancy
Zn1 Zn 0.0000 0.0000 0.0000 1
Sb1 Sb 0.0000 0.0000 0.5295 1
Sb2 Sb 0.0000 0.0000 0.7568 1
Rh1 Rh 0.0000 0.0000 0.2644 1
```

Summary:
* formation energy without anion corrections: -0.003 eV per atom
* final energy: -50.7 eV per cell
* crystal system: trigonal



# 5
Compound: Sc2GeRu
Source: Alexandria via LeMat-Bulk
Functional: PBE
Structure: relaxed

Cell and atoms, written as CIF:
```
data_Sc2GeRu
_cell_length_a 3.3237
_cell_length_b 3.3237
_cell_length_c 6.3954
_cell_angle_alpha 90.00
_cell_angle_beta 90.00
_cell_angle_gamma 90.00
_space_group_name_H-M_alt 'P 4/m m m'
_space_group_IT_number 123
_space_group_name_Hall '-P 4 2'
loop_
_atom_site_label
_atom_site_type_symbol
_atom_site_fract_x
_atom_site_fract_y
_atom_site_fract_z
_atom_site_occupancy
Sc1 Sc 0.0000 0.0000 0.2375 1
Ge1 Ge 0.5000 0.5000 0.5000 1
Ru1 Ru 0.5000 0.5000 0.0000 1
```

Summary:
* energy of formation: -675 meV per atom
* final energy: -29.3 eV per cell
* crystal system: tetragonal



# 6
Compound: MgTlPOs2
Source: Alexandria via LeMat-Bulk
Functional: PBE
Structure: relaxed

Cell and atoms, written as CIF:
```
data_MgTlPOs2
_cell_length_a 4.4475
_cell_length_b 4.4475
_cell_length_c 4.7249
_cell_angle_alpha 90.00
_cell_angle_beta 90.00
_cell_angle_gamma 90.00
_space_group_name_H-M_alt 'P 4/m m m'
_space_group_IT_number 123
_space_group_name_Hall '-P 4 2'
loop_
_atom_site_label
_atom_site_type_symbol
_atom_site_fract_x
_atom_site_fract_y
_atom_site_fract_z
_atom_site_occupancy
Mg1 Mg 0.0000 0.0000 0.0000 1
Tl1 Tl 0.5000 0.5000 0.0000 1
P1 P 0.0000 0.0000 0.5000 1
Os1 Os 0.0000 0.5000 0.5000 1
```

Summary:
* energy of formation: 630 meV per atom
* final energy: -28.7 eV per cell
* crystal system: tetragonal



# 7
Compound: ErMgInRu
Source: Alexandria via LeMat-Bulk
Functional: PBE
Structure: relaxed

Cell and atoms, written as CIF:
```
data_ErMgInRu
_cell_length_a 6.8266
_cell_length_b 6.8266
_cell_length_c 6.8266
_cell_angle_alpha 90.00
_cell_angle_beta 90.00
_cell_angle_gamma 90.00
_space_group_name_H-M_alt 'F -4 3 m'
_space_group_IT_number 216
_space_group_name_Hall 'F -4 2 3'
loop_
_atom_site_label
_atom_site_type_symbol
_atom_site_fract_x
_atom_site_fract_y
_atom_site_fract_z
_atom_site_occupancy
Er1 Er 0.0000 0.0000 0.0000 1
Mg1 Mg 0.2500 0.2500 0.2500 1
In1 In 0.0000 0.0000 0.5000 1
Ru1 Ru 0.2500 0.2500 0.7500 1
```

Summary:
* energy of formation: -149 meV per atom
* final energy: -75.1 eV per cell
* crystal system: cubic



# 8
Compound: YTeP2
Source: Alexandria via LeMat-Bulk
Functional: PBE
Structure: relaxed

Cell and atoms, written as CIF:
```
data_YTeP2
_cell_length_a 4.2723
_cell_length_b 3.8689
_cell_length_c 10.8065
_cell_angle_alpha 90.00
_cell_angle_beta 90.00
_cell_angle_gamma 90.00
_space_group_name_H-M_alt 'A m m 2'
_space_group_IT_number 38
loop_
_space_group_symop_operation_xyz
'x,y,z'
'-x,-y,z'
'-x,y,z'
'x,-y,z'
'x,y+1/2,z+1/2'
'-x,-y+1/2,z+1/2'
'-x,y+1/2,z+1/2'
'x,-y+1/2,z+1/2'
loop_
_atom_site_label
_atom_site_type_symbol
_atom_site_fract_x
_atom_site_fract_y
_atom_site_fract_z
_atom_site_occupancy
Y1 Y 0.0000 0.0000 0.0000 1
Te1 Te 0.5000 0.0000 0.2245 1
P1 P 0.0000 0.0000 0.7156 1
P2 P 0.5000 0.0000 0.4571 1
```

Summary:
* formation energy without anion corrections: -0.554 eV per atom
* final energy: -45.3 eV per cell
* crystal system: orthorhombic



no.,total magnetic moment (Bohr magnetons per cell)
1,1.65
2,0.01
3,14.00
4,0.00
5,0.00
6,0.00
7,0.00
8,0.00